A plane-wave DFT calculation with PBE with a Hubbard U was carried out for crystalline Mn2NiO4 at its relaxed geometry.

abc: 6.008 6.008 10.368
angles: 74.26 74.26 61.42
Sites, in units of the cell vectors:
O: 0.919 0.361 0.375
O: 0.861 0.861 0.388
O: 0.097 0.636 0.612
O: 0.581 0.141 0.128
O: 0.141 0.581 0.128
O: 0.133 0.133 0.131
O: 0.865 0.865 0.887
O: 0.143 0.143 0.604
O: 0.638 0.638 0.610
O: 0.359 0.359 0.375
O: 0.361 0.919 0.375
O: 0.643 0.643 0.106
O: 0.357 0.357 0.898
O: 0.404 0.864 0.886
O: 0.864 0.404 0.886
O: 0.636 0.097 0.612
Mn: 0.568 0.568 0.312
Mn: 0.999 0.504 0.499
Mn: 0.431 0.431 0.688
Mn: 0.504 0.999 0.499
Mn: 0.501 0.998 0.000
Mn: 0.070 0.070 0.812
Mn: 0.998 0.501 0.000
Mn: 0.248 0.248 0.251
Ni: 0.751 0.751 0.750
Ni: 0.501 0.501 0.001
Ni: 0.928 0.928 0.187
Ni: 0.999 0.999 0.499

## Properties
SG	No. 8
calculated density	4.95	Mg/m³
excess energy over the best structure of this formula in the dataset	9	meV/atom